! CoPRu2 PBE optimized geometry; values from VASP
&SYSTEM
  ibrav = 0, nat = 4, ntyp = 3
/
ATOMIC_SPECIES
Co 58.93 Co.upf
P 30.97 P.upf
Ru 101.07 Ru.upf
CELL_PARAMETERS angstrom
1.432 -2.378 0.000
1.432 2.378 0.000
0.000 0.000 7.948
ATOMIC_POSITIONS angstrom
Co 0.000 0.000 0.000
P 0.000 0.000 3.974
Ru 1.432 0.000 2.177
Ru 1.432 0.000 5.771
! ρ ... 8.96 g cm⁻³
! Total magnetization ... 2.35 μB per formula unit
! Space-group type ... Cmmm, No. 65
! Density of states at the Fermi level ... 1.34 states/eV per atom
! Energy of formation ... 0.284 eV/atom